No. 1
Entry from Alexandria: crystalline TaAl2SeI at its relaxed geometry (GGA-PBE).

```
TaAl2SeI
1.0
5.449 0.000 0.000
0.000 5.449 0.000
0.000 0.000 5.128
Ta Al Se I
1 2 1 1
direct
0.000 0.000 0.000 Ta
0.000 0.500 0.500 Al
0.500 0.000 0.500 Al
0.500 0.500 0.000 Se
0.000 0.000 0.500 I
```

Space-group type: P4/mmm
Fermi-level density of states, states/eV/atom: 0.82
ΔE_f (raw), eV per formula unit: 8.4
Volume, Å³ per cell: 152.26
Raw total energy, eV per cell: -16.0
Size of the total moment, μB per formula unit: 1.310

No. 2
Entry from Alexandria: crystalline ZrBRu2F at its relaxed geometry (GGA-PBE).

```
ZrBRu2F
1.0
4.876 0.000 0.000
0.000 4.876 0.000
0.000 0.000 3.988
Zr B Ru F
1 1 2 1
direct
0.000 0.000 0.000 Zr
0.500 0.500 0.500 B
0.000 0.500 0.000 Ru
0.500 0.000 0.000 Ru
0.000 0.000 0.500 F
```

Space-group type: P4/mmm
Fermi-level density of states, states/eV/atom: 0.87
ΔE_f (raw), eV per formula unit: 5.3
Volume, Å³ per cell: 94.81
Raw total energy, eV per cell: -30.3
Size of the total moment, μB per formula unit: 1.904

No. 3
Entry from Alexandria: crystalline Ce3Ag5Te12 at its relaxed geometry (GGA-PBE).

```
Ce3Ag5Te12
1.0
-8.650 8.650 8.650
8.650 -8.650 8.650
8.650 8.650 -8.650
Ce Ag Te
12 20 48
direct
0.125 0.250 0.375 Ce
0.125 0.375 0.750 Ce
0.250 0.375 0.125 Ce
0.250 0.875 0.625 Ce
0.375 0.125 0.250 Ce
0.375 0.750 0.125 Ce
0.625 0.250 0.875 Ce
0.625 0.875 0.750 Ce
0.750 0.125 0.375 Ce
0.750 0.625 0.875 Ce
0.875 0.625 0.250 Ce
0.875 0.750 0.625 Ce
0.000 0.000 0.000 Ag
0.000 0.000 0.500 Ag
0.000 0.500 0.000 Ag
0.000 0.500 0.500 Ag
0.125 0.750 0.875 Ag
0.125 0.875 0.250 Ag
0.250 0.125 0.875 Ag
0.250 0.625 0.375 Ag
0.375 0.250 0.625 Ag
0.375 0.625 0.750 Ag
0.500 0.000 0.000 Ag
0.500 0.000 0.500 Ag
0.500 0.500 0.000 Ag
0.500 0.500 0.500 Ag
0.625 0.375 0.250 Ag
0.625 0.750 0.375 Ag
0.750 0.375 0.625 Ag
0.750 0.875 0.125 Ag
0.875 0.125 0.750 Ag
0.875 0.250 0.125 Ag
0.048 0.219 0.133 Te
0.048 0.329 0.915 Te
0.085 0.633 0.413 Te
0.085 0.952 0.671 Te
0.087 0.719 0.671 Te
0.087 0.867 0.415 Te
0.133 0.048 0.219 Te
0.133 0.585 0.913 Te
0.171 0.219 0.587 Te
0.171 0.452 0.585 Te
0.219 0.133 0.048 Te
0.219 0.587 0.171 Te
0.281 0.329 0.913 Te
0.281 0.452 0.367 Te
0.329 0.913 0.281 Te
0.329 0.915 0.048 Te
0.367 0.281 0.452 Te
0.367 0.587 0.915 Te
0.413 0.085 0.633 Te
0.413 0.829 0.781 Te
0.415 0.087 0.867 Te
0.415 0.829 0.548 Te
0.452 0.367 0.281 Te
0.452 0.585 0.171 Te
0.548 0.415 0.829 Te
0.548 0.633 0.719 Te
0.585 0.171 0.452 Te
0.585 0.913 0.133 Te
0.587 0.171 0.219 Te
0.587 0.915 0.367 Te
0.633 0.413 0.085 Te
0.633 0.719 0.548 Te
0.671 0.085 0.952 Te
0.671 0.087 0.719 Te
0.719 0.548 0.633 Te
0.719 0.671 0.087 Te
0.781 0.413 0.829 Te
0.781 0.867 0.952 Te
0.829 0.548 0.415 Te
0.829 0.781 0.413 Te
0.867 0.415 0.087 Te
0.867 0.952 0.781 Te
0.913 0.133 0.585 Te
0.913 0.281 0.329 Te
0.915 0.048 0.329 Te
0.915 0.367 0.587 Te
0.952 0.671 0.085 Te
0.952 0.781 0.867 Te
```

Space-group type: Ia-3d
Fermi-level density of states, states/eV/atom: 0.92
ΔE_f (raw), eV per formula unit: -9.0
Volume, Å³ per cell: 2588.82
Raw total energy, eV per cell: -314.9
Size of the total moment, μB per formula unit: 0.001

No. 4
Entry from Alexandria: crystalline Sr3Be at its relaxed geometry (GGA-PBE).

```
Sr3Be
1.0
11.822 0.000 0.000
-5.911 10.238 0.000
0.000 0.000 4.010
Sr Be
9 3
direct
0.000 0.500 0.000 Sr
0.167 0.333 0.333 Sr
0.167 0.833 0.333 Sr
0.333 0.167 0.667 Sr
0.500 0.000 0.000 Sr
0.500 0.500 0.000 Sr
0.667 0.833 0.333 Sr
0.833 0.167 0.667 Sr
0.833 0.667 0.667 Sr
0.000 0.000 0.000 Be
0.333 0.667 0.667 Be
0.667 0.333 0.333 Be
```

Formation energy from the elements, meV/atom: 598
Space-group type: R-3m
Fermi-level density of states, states/eV/atom: 0.64
Volume, Å³ per cell: 485.31
Raw total energy, eV per cell: -19.1
Size of the total moment, μB per formula unit: 0.000

Q: What is the Fermi-level density of states in the second record?
A: 0.87 states/eV/atom

Copy entry 2 word for word.
Entry from Alexandria: crystalline ZrBRu2F at its relaxed geometry (GGA-PBE).

```
ZrBRu2F
1.0
4.876 0.000 0.000
0.000 4.876 0.000
0.000 0.000 3.988
Zr B Ru F
1 1 2 1
direct
0.000 0.000 0.000 Zr
0.500 0.500 0.500 B
0.000 0.500 0.000 Ru
0.500 0.000 0.000 Ru
0.000 0.000 0.500 F
```

Space-group type: P4/mmm
Fermi-level density of states, states/eV/atom: 0.87
ΔE_f (raw), eV per formula unit: 5.3
Volume, Å³ per cell: 94.81
Raw total energy, eV per cell: -30.3
Size of the total moment, μB per formula unit: 1.904